YScSi3, relaxed, DFT PBE; distance to the lowest polymorph of the same formula = 2.90 eV/f.u.; symmetry = Pm-3m (221); magnetic moment = 0.000 μB/atom; formation energy from raw total energies = 0.8399 eV per atom
1.0
5.124 0.000 0.000
0.000 5.124 0.000
0.000 0.000 5.124
Y Sc Si
1 1 3
direct
0.000 0.000 0.000 Y
0.500 0.500 0.500 Sc
0.000 0.000 0.500 Si
0.000 0.500 0.000 Si
0.500 0.000 0.000 Si